Material: Li4Cr3Ni2Sn3O16
Method: DFT, GGA+U
State: relaxed

Cell lengths 6.067, 6.067, 9.772 Å; angles 89.65, 89.65, 59.93 degrees
Fractional positions:
Cr (0.173, 0.665, 0.714)
Sn (0.339, 0.833, 0.215)
O (0.673, 0.673, 0.098)
O (0.341, 0.341, 0.603)
O (0.533, 0.967, 0.334)
O (0.840, 0.840, 0.618)
O (0.314, 0.829, 0.602)
O (0.994, 0.994, 0.319)
Cr (0.833, 0.833, 0.214)
O (0.997, 0.997, 0.813)
Cr (0.665, 0.173, 0.714)
Sn (0.833, 0.339, 0.215)
Li (0.986, 0.986, 0.501)
O (0.829, 0.314, 0.602)
Ni (0.332, 0.332, 0.987)
Li (0.338, 0.338, 0.397)
O (0.498, 0.041, 0.834)
O (0.483, 0.483, 0.823)
O (0.518, 0.518, 0.342)
O (0.145, 0.677, 0.107)
O (0.155, 0.155, 0.091)
O (0.041, 0.498, 0.834)
Sn (0.172, 0.172, 0.714)
O (0.967, 0.533, 0.334)
Li (0.984, 0.984, 0.995)
Li (0.675, 0.675, 0.889)
Ni (0.667, 0.667, 0.490)
O (0.677, 0.145, 0.107)

E_tot in eV per cell: -172.033
Symmetry: Cm, No. 8